! ZrTaCu | Alexandria via LeMat-Bulk | SCAN | single point on PBEsol structure; values from VASP
! * ΔE to the lowest computed polymorph: 1045 meV/atom
! * ΔE_f: 1.08 eV per atom
&SYSTEM
  ibrav = 0, nat = 3, ntyp = 3
/
ATOMIC_SPECIES
Zr 91.22 Zr.upf
Ta 180.95 Ta.upf
Cu 63.55 Cu.upf
ATOMIC_POSITIONS crystal
Zr 0.000 0.000 0.000
Ta 0.250 0.250 0.250
Cu 0.500 0.500 0.500
CELL_PARAMETERS angstrom
4.404 0.000 0.000
2.202 3.814 0.000
2.202 1.271 3.596

=====

! Tb7Cu3Te12 | Alexandria via LeMat-Bulk | SCAN | single point on PBEsol structure; values from VASP
! * uncorrected energy: -38.507 eV per atom
&SYSTEM
  ibrav = 0, nat = 22, ntyp = 3
/
ATOMIC_SPECIES
Te 127.60 Te.upf
Tb 158.93 Tb.upf
Cu 63.55 Cu.upf
ATOMIC_POSITIONS crystal
Te 0.712 0.707 0.123
Te 0.290 0.285 0.875
Te 0.806 0.464 0.387
Te 0.449 0.785 0.389
Te 0.039 0.375 0.126
Te 0.128 0.142 0.387
Te 0.379 0.047 0.123
Te 0.213 0.537 0.613
Te 0.874 0.878 0.615
Te 0.532 0.198 0.615
Te 0.953 0.624 0.877
Te 0.629 0.962 0.875
Tb 0.745 0.077 0.254
Tb 0.246 0.906 0.744
Tb 0.920 0.255 0.744
Tb 0.089 0.760 0.254
Tb 0.332 0.663 0.998
Tb 0.579 0.581 0.744
Tb 0.420 0.420 0.254
Cu 0.806 0.811 0.423
Cu 0.866 0.528 0.586
Cu 0.470 0.140 0.423
CELL_PARAMETERS angstrom
7.395 -0.045 0.017
-3.658 6.432 -0.017
-1.202 -2.089 13.795

=====

! TbCu3Te3 | Alexandria via LeMat-Bulk | SCAN | single point on PBEsol structure; values from VASP
! * uncorrected energy: -29.716 eV per atom
&SYSTEM
  ibrav = 0, nat = 14, ntyp = 3
/
ATOMIC_SPECIES
Tb 158.93 Tb.upf
Te 127.60 Te.upf
Cu 63.55 Cu.upf
ATOMIC_POSITIONS crystal
Tb 0.664 0.664 0.009
Tb 0.336 0.336 0.991
Te 0.075 0.396 0.754
Te 0.224 0.925 0.246
Te 0.925 0.604 0.246
Te 0.396 0.776 0.754
Te 0.776 0.075 0.754
Te 0.604 0.224 0.246
Cu 0.753 0.479 0.624
Cu 0.479 0.144 0.624
Cu 0.247 0.521 0.376
Cu 0.521 0.856 0.376
Cu 0.856 0.247 0.376
Cu 0.144 0.753 0.624
CELL_PARAMETERS angstrom
-3.284 -4.704 -4.529
3.895 -5.249 -3.272
-1.042 -7.536 2.685

=====

! CuTc3 | Alexandria via LeMat-Bulk | SCAN | single point on PBEsol structure; values from VASP
! * ΔE to the lowest computed polymorph: 4 meV/atom
! * ΔE_f: 0.05 eV per atom
&SYSTEM
  ibrav = 0, nat = 8, ntyp = 2
/
ATOMIC_SPECIES
Tc 98.00 Tc.upf
Cu 63.55 Cu.upf
ATOMIC_POSITIONS crystal
Tc 0.500 0.338 0.000
Tc 0.000 0.172 0.750
Tc 0.500 0.828 0.250
Tc 0.000 0.172 0.250
Tc 0.000 0.662 0.500
Tc 0.500 0.828 0.750
Cu 0.000 0.668 0.000
Cu 0.500 0.332 0.500
CELL_PARAMETERS angstrom
-2.175 1.519 -3.396
-3.496 -2.877 0.952
-2.222 3.721 3.087

=====

! CuTc3 | Alexandria via LeMat-Bulk | SCAN | single point on PBEsol structure; values from VASP
! * ΔE to the lowest computed polymorph: 0 meV/atom
! * ΔE_f: 0.05 eV per atom
&SYSTEM
  ibrav = 0, nat = 8, ntyp = 2
/
ATOMIC_SPECIES
Cu 63.55 Cu.upf
Tc 98.00 Tc.upf
ATOMIC_POSITIONS crystal
Cu 0.750 0.667 0.333
Cu 0.250 0.333 0.667
Tc 0.750 0.167 0.833
Tc 0.250 0.833 0.665
Tc 0.750 0.167 0.335
Tc 0.750 0.665 0.833
Tc 0.250 0.335 0.167
Tc 0.250 0.833 0.167
CELL_PARAMETERS angstrom
4.335 0.000 0.000
0.000 5.306 0.000
0.000 -2.653 4.595

=====

! CuTc3 | Alexandria via LeMat-Bulk | SCAN | single point on PBEsol structure; values from VASP
! * ΔE to the lowest computed polymorph: 87 meV/atom
! * ΔE_f: 0.13 eV per atom
&SYSTEM
  ibrav = 0, nat = 4, ntyp = 2
/
ATOMIC_SPECIES
Cu 63.55 Cu.upf
Tc 98.00 Tc.upf
ATOMIC_POSITIONS crystal
Cu 0.000 0.000 0.000
Tc 0.333 0.667 0.750
Tc 0.000 0.000 0.500
Tc 0.333 0.667 0.250
CELL_PARAMETERS angstrom
2.684 0.000 0.000
-1.342 2.324 0.000
0.000 0.000 8.654